Record 1
Computed, not measured: an optimized crystal structure of NdHoScTe3 at the PBE-GGA level of DFT.

Output
Total energy (eV/atom): -5.382
Space-group type: P2_1/m

a = 8.7618 Å, b = 4.3015 Å, c = 9.9292 Å
α = 90.00°, β = 104.55°, γ = 90.00°
Positions (direct):
Nd 0.1772 0.2500 0.2376
Nd 0.8228 0.7500 0.7624
Ho 0.3293 0.7500 0.8322
Ho 0.6707 0.2500 0.1678
Sc 0.0892 0.2500 0.5933
Sc 0.9108 0.7500 0.4067
Te 0.0970 0.2500 0.8863
Te 0.2653 0.7500 0.4996
Te 0.4194 0.7500 0.1585
Te 0.5806 0.2500 0.8415
Te 0.7347 0.2500 0.5004
Te 0.9030 0.7500 0.1137

***

Record 2
Computed, not measured: an optimized crystal structure of Hf8AsN2 at the PBE-GGA level of DFT.

Output
Total energy (eV/atom): -9.720
Space-group type: C2/m

a = 6.8305 Å, b = 6.8305 Å, c = 5.7283 Å
α = 94.41°, β = 94.41°, γ = 56.88°
Positions (direct):
Hf 0.1497 0.6728 0.7876
Hf 0.1519 0.1519 0.7349
Hf 0.3184 0.3184 0.2133
Hf 0.3272 0.8503 0.2124
Hf 0.6728 0.1497 0.7876
Hf 0.6816 0.6816 0.7867
Hf 0.8481 0.8481 0.2651
Hf 0.8503 0.3272 0.2124
As 0.5000 0.5000 0.5000
N 0.3169 0.3169 0.8521
N 0.6831 0.6831 0.1479

***

Record 3
Computed, not measured: an optimized crystal structure of Ac3Pr12Cd at the PBE-GGA level of DFT.

Output
DFT formation energy (meV/atom): -1.6
Total energy (eV/atom): -4.414
Space-group type: P4/mmm

a = 5.2701 Å, b = 5.2701 Å, c = 21.0444 Å
α = 90.00°, β = 90.00°, γ = 90.00°
Positions (direct):
Ac 0.0000 0.0000 0.0000
Ac 0.0000 0.0000 0.2565
Ac 0.0000 0.0000 0.7435
Pr 0.0000 0.5000 0.1281
Pr 0.0000 0.5000 0.3840
Pr 0.0000 0.5000 0.6160
Pr 0.0000 0.5000 0.8719
Pr 0.5000 0.0000 0.1281
Pr 0.5000 0.0000 0.3840
Pr 0.5000 0.0000 0.6160
Pr 0.5000 0.0000 0.8719
Pr 0.5000 0.5000 0.0000
Pr 0.5000 0.5000 0.2595
Pr 0.5000 0.5000 0.5000
Pr 0.5000 0.5000 0.7405
Cd 0.0000 0.0000 0.5000

***

Record 4
Computed, not measured: an optimized crystal structure of Zn3GaNi2 at the PBE-GGA level of DFT.

Output
DFT formation energy (meV/atom): -173.9
Total energy (eV/atom): -3.243
Energy above the most stable polymorph in this dataset (kJ/mol of atoms): 0.8
Space-group type: P2/m

a = 3.7999 Å, b = 3.6811 Å, c = 5.9103 Å
α = 90.00°, β = 108.57°, γ = 90.00°
Positions (direct):
Zn 0.0000 0.0000 0.0000
Zn 0.3230 0.0000 0.6464
Zn 0.6770 0.0000 0.3536
Ga 0.5000 0.5000 0.0000
Ni 0.1568 0.5000 0.3142
Ni 0.8432 0.5000 0.6858

***

Record 5
Computed, not measured: an optimized crystal structure of CaAgHg at the PBE-GGA level of DFT.

Output
DFT formation energy (meV/atom): -340.0
Total energy (eV/atom): -2.058
Space-group type: P2_1/c

a = 6.6139 Å, b = 6.0120 Å, c = 8.1982 Å
α = 90.00°, β = 111.82°, γ = 90.00°
Positions (direct):
Ca 0.2109 0.1414 0.3783
Ca 0.2109 0.3586 0.8783
Ca 0.7891 0.6414 0.1217
Ca 0.7891 0.8586 0.6217
Ag 0.4274 0.5800 0.2929
Ag 0.4274 0.9200 0.7929
Ag 0.5726 0.0800 0.2071
Ag 0.5726 0.4200 0.7071
Hg 0.1741 0.6565 0.5082
Hg 0.1741 0.8435 0.0082
Hg 0.8259 0.1565 0.9918
Hg 0.8259 0.3435 0.4918

***

Record 6
Computed, not measured: an optimized crystal structure of PuSbRh at the PBE-GGA level of DFT.

Output
Total energy (eV/atom): -9.173
Space-group type: P-6m2

a = 4.5775 Å, b = 4.5775 Å, c = 3.6968 Å
α = 90.00°, β = 90.00°, γ = 120.00°
Positions (direct):
Pu 0.0000 0.0000 0.0000
Sb 0.3333 0.6667 0.5000
Rh 0.6667 0.3333 0.5000

***

Record 7
Computed, not measured: an optimized crystal structure of NaTbTlCd at the PBE-GGA level of DFT.

Output
DFT formation energy (meV/atom): -235.2
Total energy (eV/atom): -2.543
Energy above the most stable polymorph in this dataset (kJ/mol of atoms): 0.0
Space-group type: Pmmm

a = 3.7132 Å, b = 5.3140 Å, c = 5.4094 Å
α = 90.00°, β = 90.00°, γ = 90.00°
Positions (direct):
Na 0.0000 0.0000 0.0000
Tb 0.0000 0.5000 0.5000
Tl 0.5000 0.0000 0.5000
Cd 0.5000 0.5000 0.0000

***

Record 8
Computed, not measured: an optimized crystal structure of V3RuW at the PBE-GGA level of DFT.

Output
DFT formation energy (meV/atom): 116.1
Total energy (eV/atom): -9.801
Energy above the most stable polymorph in this dataset (kJ/mol of atoms): 0.0
Space-group type: C2/c

a = 7.7016 Å, b = 7.7016 Å, c = 5.1030 Å
α = 101.67°, β = 101.67°, γ = 83.16°
Positions (direct):
V 0.0480 0.6914 0.9873
V 0.1234 0.5126 0.3811
V 0.2303 0.3542 0.8499
V 0.3086 0.9520 0.5127
V 0.3542 0.2303 0.3499
V 0.4874 0.8766 0.1189
V 0.5126 0.1234 0.8811
V 0.6458 0.7697 0.6501
V 0.6914 0.0480 0.4873
V 0.7697 0.6458 0.1501
V 0.8766 0.4874 0.6189
V 0.9520 0.3086 0.0127
Ru 0.0308 0.1754 0.4668
Ru 0.1754 0.0308 0.9668
Ru 0.8246 0.9692 0.0332
Ru 0.9692 0.8246 0.5332
W 0.3154 0.6846 0.7500
W 0.4231 0.5769 0.2500
W 0.5769 0.4231 0.7500
W 0.6846 0.3154 0.2500

***

Record 9
Computed, not measured: an optimized crystal structure of LaCu3Br at the PBE-GGA level of DFT.

Output
Total energy (eV/atom): -3.202
Energy above the most stable polymorph in this dataset (kJ/mol of atoms): 0.0
Space-group type: Pm-3m

a = 4.8331 Å, b = 4.8331 Å, c = 4.8331 Å
α = 90.00°, β = 90.00°, γ = 90.00°
Positions (direct):
La 0.0000 0.0000 0.0000
Cu 0.0000 0.5000 0.5000
Cu 0.5000 0.0000 0.5000
Cu 0.5000 0.5000 0.0000
Br 0.5000 0.5000 0.5000

***

Record 10
Computed, not measured: an optimized crystal structure of Sr3Sm at the PBE-GGA level of DFT.

Output
DFT formation energy (meV/atom): 194.0
Total energy (eV/atom): -2.247
Energy above the most stable polymorph in this dataset (kJ/mol of atoms): 3.0
Space-group type: Pm-3m

a = 5.7393 Å, b = 5.7393 Å, c = 5.7393 Å
α = 90.00°, β = 90.00°, γ = 90.00°
Positions (direct):
Sr 0.0000 0.0000 0.5000
Sr 0.0000 0.5000 0.0000
Sr 0.5000 0.0000 0.0000
Sm 0.5000 0.5000 0.5000

***

Record 11
Computed, not measured: an optimized crystal structure of TePBr2 at the PBE-GGA level of DFT.

Output
Total energy (eV/atom): -3.044
Energy above the most stable polymorph in this dataset (kJ/mol of atoms): 0.0
Space-group type: Pm

a = 5.8605 Å, b = 3.9618 Å, c = 6.4134 Å
α = 90.00°, β = 90.84°, γ = 90.00°
Positions (direct):
Te 0.0000 0.0000 0.0000
P 0.9075 0.5000 0.7472
Br 0.2088 0.5000 0.5350
Br 0.4935 0.0000 0.9952

***

Record 12
Computed, not measured: an optimized crystal structure of Sr3InSn2 at the PBE-GGA level of DFT.

Output
DFT formation energy (meV/atom): -552.7
Total energy (eV/atom): -3.184
Space-group type: Pnma

a = 13.3306 Å, b = 4.8587 Å, c = 13.4054 Å
α = 90.00°, β = 90.00°, γ = 90.00°
Positions (direct):
Sr 0.0608 0.2500 0.1151
Sr 0.1267 0.7500 0.5577
Sr 0.1992 0.2500 0.8060
Sr 0.3008 0.7500 0.3060
Sr 0.3733 0.2500 0.0577
Sr 0.4392 0.7500 0.6151
Sr 0.5608 0.2500 0.3849
Sr 0.6267 0.7500 0.9423
Sr 0.6992 0.2500 0.6940
Sr 0.8008 0.7500 0.1940
Sr 0.8733 0.2500 0.4423
Sr 0.9392 0.7500 0.8849
In 0.1396 0.2500 0.3538
In 0.3604 0.7500 0.8538
In 0.6396 0.2500 0.1462
In 0.8604 0.7500 0.6462
Sn 0.0205 0.7500 0.3162
Sn 0.1933 0.7500 0.9979
Sn 0.3067 0.2500 0.4979
Sn 0.4795 0.2500 0.8162
Sn 0.5205 0.7500 0.1838
Sn 0.6933 0.7500 0.5021
Sn 0.8067 0.2500 0.0021
Sn 0.9795 0.2500 0.6838